[1]
The following is a PBE calculation of crystalline CaCF3 at its relaxed geometry, from the Alexandria database.

Computed properties:
Total DFT energy (no corrections), eV per atom: -4.3928
Uncorrected formation energy, eV per atom: -1.025
Excess energy over the best structure of this formula in the dataset, meV per atom: 0.0
M_tot, μB/f.u.: 0.89
Space group: Pm-3m

Geometry as POSCAR:
```
CaCF3
1.0
4.0184 0.0000 0.0000
0.0000 4.0184 0.0000
0.0000 0.0000 4.0184
Ca C F
1 1 3
Cartesian
2.0092 2.0092 2.0092
0.0000 0.0000 0.0000
0.0000 2.0092 0.0000
0.0000 0.0000 2.0092
2.0092 0.0000 0.0000
```

***

[2]
The following is a PBE calculation of crystalline CaCF at its relaxed geometry, from the Alexandria database.

Computed properties:
Total DFT energy (no corrections), eV per atom: -6.2493
Uncorrected formation energy, eV per atom: -1.884
Excess energy over the best structure of this formula in the dataset, meV per atom: 65.4
M_tot, μB/f.u.: 0.00
Space group: P2/m

Geometry as POSCAR:
```
CaCF
1.0
5.0261 0.0000 -0.0003
0.0000 3.6924 0.0000
-1.0533 0.0000 5.3641
Ca C F
2 2 2
Cartesian
1.9864 0.0000 2.6819
0.0000 1.8462 0.0000
3.1330 0.0000 0.1081
0.8398 0.0000 5.2557
3.2359 1.8462 3.2331
0.7369 1.8462 2.1307
```

***

[3]
The following is a PBE calculation of crystalline CaHf2CF at its relaxed geometry, from the Alexandria database.

Computed properties:
Total DFT energy (no corrections), eV per atom: -6.9035
Uncorrected formation energy, eV per atom: -0.303
M_tot, μB/f.u.: 0.87
Space group: P4/mmm

Geometry as POSCAR:
```
CaHf2CF
1.0
4.2492 0.0000 0.0000
0.0000 6.6683 0.0000
0.0000 0.0000 4.2492
Ca Hf C F
1 2 1 1
Cartesian
2.1246 3.3341 2.1246
0.0000 0.0000 2.1246
2.1246 0.0000 0.0000
0.0000 0.0000 0.0000
0.0000 3.3341 0.0000
```

***

Q: The highest M_tot belongs to which entry?
A: CaCF3

***

Repeat the third record exactly.
The following is a PBE calculation of crystalline CaHf2CF at its relaxed geometry, from the Alexandria database.

Computed properties:
Total DFT energy (no corrections), eV per atom: -6.9035
Uncorrected formation energy, eV per atom: -0.303
M_tot, μB/f.u.: 0.87
Space group: P4/mmm

Geometry as POSCAR:
```
CaHf2CF
1.0
4.2492 0.0000 0.0000
0.0000 6.6683 0.0000
0.0000 0.0000 4.2492
Ca Hf C F
1 2 1 1
Cartesian
2.1246 3.3341 2.1246
0.0000 0.0000 2.1246
2.1246 0.0000 0.0000
0.0000 0.0000 0.0000
0.0000 3.3341 0.0000
```